Entry 1:
Computed, not measured: a geometry-optimized AsRhAu2 structure at the GGA-PBE level of DFT.

Values from the calculation:
- Energy of formation from the pure elements: 53 meV/atom

Unit cell a=3.3986 b=3.7362 c=11.2656 alpha=90.00 beta=90.00 gamma=90.00
Space group Immm (No. 71)
Symmetry-distinct sites (fractional):
1 As 0.0000 0.0000 0.0000 (multiplicity 2)
2 Rh 0.0000 0.0000 0.5000 (multiplicity 2)
3 Au 0.0000 0.5000 0.3050 (multiplicity 4)



Entry 2:
Computed, not measured: a geometry-optimized AsRh2Au structure at the GGA-PBE level of DFT.

Values from the calculation:
- Energy of formation from the pure elements: 37 meV/atom

Unit cell a=5.8195 b=6.9908 c=3.0763 alpha=90.00 beta=90.00 gamma=90.00
Space group Cmmm (No. 65)
Symmetry-distinct sites (fractional):
1 As 0.0000 0.0000 0.0000 (multiplicity 2)
2 Rh 0.2500 0.2500 0.5000 (multiplicity 4)
3 Au 0.0000 0.5000 0.0000 (multiplicity 2)



Entry 3:
Computed, not measured: a geometry-optimized As2Rh2Au structure at the GGA-PBE level of DFT.

Values from the calculation:
- Energy of formation from the pure elements: -140 meV/atom

Unit cell a=7.2847 b=7.2847 c=3.0782 alpha=90.00 beta=90.00 gamma=90.00
Space group P4/mbm (No. 127)
Symmetry-distinct sites (fractional):
1 As 0.1501 0.3499 0.0000 (multiplicity 4)
2 Rh 0.1398 0.6398 0.5000 (multiplicity 4)
3 Au 0.0000 0.0000 0.5000 (multiplicity 2)



Entry 4:
Computed, not measured: a geometry-optimized AsRh2Au structure at the GGA-PBE level of DFT.

Values from the calculation:
- Energy of formation from the pure elements: 205 meV/atom

Unit cell a=2.8197 b=4.8423 c=9.7018 alpha=90.00 beta=90.00 gamma=90.00
Space group Cmm2 (No. 35)
Symmetry-distinct sites (fractional):
1 As 0.0000 0.0000 0.0000 (multiplicity 2)
2 Rh 0.0000 0.0000 0.5478 (multiplicity 2)
3 Rh 0.0000 0.5000 0.7810 (multiplicity 2)
4 Au 0.0000 0.5000 0.2960 (multiplicity 2)



Entry 5:
Computed, not measured: a geometry-optimized AsRhAu2 structure at the GGA-PBE level of DFT.

Values from the calculation:
- Energy of formation from the pure elements: 177 meV/atom

Unit cell a=3.9395 b=3.9395 c=4.4177 alpha=90.00 beta=90.00 gamma=90.00
Space group P4/mmm (No. 123)
Symmetry-distinct sites (fractional):
1 As 0.0000 0.0000 0.0000 (multiplicity 1)
2 Rh 0.5000 0.5000 0.0000 (multiplicity 1)
3 Au 0.0000 0.5000 0.5000 (multiplicity 2)



Entry 6:
Computed, not measured: a geometry-optimized AsRhAu2 structure at the GGA-PBE level of DFT.

Values from the calculation:
- Energy of formation from the pure elements: 184 meV/atom

Unit cell a=5.4215 b=8.0959 c=3.1445 alpha=90.00 beta=90.00 gamma=90.00
Space group Cmmm (No. 65)
Symmetry-distinct sites (fractional):
1 As 0.0000 0.0000 0.0000 (multiplicity 2)
2 Rh 0.0000 0.5000 0.0000 (multiplicity 2)
3 Au 0.2500 0.2500 0.5000 (multiplicity 4)



Number 1: raw total energy -4.586 eV per atom, density of states at the Fermi level 0.360 states/eV/atom. Number 2: raw total energy -5.620 eV per atom, density of states at the Fermi level 0.912 states/eV/atom. Number 3: raw total energy -5.596 eV per atom, density of states at the Fermi level 1.152 states/eV/atom. Number 4: raw total energy -5.453 eV per atom, density of states at the Fermi level 1.178 states/eV/atom. Number 5: raw total energy -4.462 eV per atom, density of states at the Fermi level 1.000 states/eV/atom. Number 6: raw total energy -4.455 eV per atom, density of states at the Fermi level 0.884 states/eV/atom.